VASP calculation (GGA-PBE) on crystalline K2CdOs at its relaxed geometry.

```
K2CdOs
1.0
6.386 -0.030 -0.023
-2.844 6.036 0.042
0.036 1.298 2.533
Cd K Os
1 2 1
direct
0.500 0.000 0.500
0.000 0.000 0.000
0.000 0.500 0.500
0.500 0.500 0.000
```

As for the symmetry: C2/m. The volume comes out at 97 Å³/cell. The calculation puts the spin magnetization at 0.000 μB/f.u. The theoretical density comes out at 6.51 Mg/m³. As for the formation energy: 4.11 eV per formula unit.